Compound: Ca2TaTl3O6
Source: Alexandria via LeMat-Bulk
Functional: GGA-PBE
Structure: optimized geometry

## Properties
Space-group type: C2/m, No. 12
Final energy in Ry per atom: -0.47522
Total moment in Bohr magnetons per cell: 0.00

abc: 5.9404 5.9404 6.7075
angles: 98.08 98.08 119.98
Fractional positions:
Ca: 0.3325 0.6675 0.0000
Ca: 0.6675 0.3325 0.0000
Ta: 0.0000 0.0000 0.0000
Tl: 0.1666 0.8334 0.5000
Tl: 0.8334 0.1666 0.5000
Tl: 0.5000 0.5000 0.5000
O: 0.9422 0.6562 0.8323
O: 0.7726 0.7726 0.1814
O: 0.0578 0.3438 0.1677
O: 0.6562 0.9422 0.8323
O: 0.2274 0.2274 0.8186
O: 0.3438 0.0578 0.1677